1.
Density functional theory data (GGA-PBE) for an optimized crystal structure of Ga3Ni3Pt2.

CIF file:
```
data_Ga3Ni3Pt2
_chemical_formula_sum 'Ga6 Ni6 Pt4'
_cell_length_a 3.648
_cell_length_b 4.022
_cell_length_c 14.772
_cell_angle_alpha 90.00
_cell_angle_beta 90.00
_cell_angle_gamma 90.00
_symmetry_space_group_name_H-M 'I m m m'
_symmetry_Int_Tables_number 71
_symmetry_space_group_name_Hall '-I 2 2'
loop_
_atom_site_label
_atom_site_type_symbol
_atom_site_fract_x
_atom_site_fract_y
_atom_site_fract_z
_atom_site_occupancy
Ga1 Ga 0.000 0.000 0.000 1
Ga2 Ga 0.000 0.500 0.127 1
Ni1 Ni 0.000 0.000 0.500 1
Ni2 Ni 0.000 0.500 0.387 1
Pt1 Pt 0.000 0.000 0.254 1
```

2.
Density functional theory data (GGA-PBE) for an optimized crystal structure of GaNi2Pt7.

CIF file:
```
data_GaNi2Pt7
_chemical_formula_sum 'Ga2 Ni4 Pt14'
_cell_length_a 7.198
_cell_length_b 12.095
_cell_length_c 4.254
_cell_angle_alpha 90.00
_cell_angle_beta 90.00
_cell_angle_gamma 90.00
_symmetry_space_group_name_H-M 'C m m m'
_symmetry_Int_Tables_number 65
_symmetry_space_group_name_Hall '-C 2 2'
loop_
_atom_site_label
_atom_site_type_symbol
_atom_site_fract_x
_atom_site_fract_y
_atom_site_fract_z
_atom_site_occupancy
Ga1 Ga 0.000 0.000 0.000 1
Ni1 Ni 0.000 0.299 0.500 1
Pt1 Pt 0.000 0.202 0.000 1
Pt2 Pt 0.000 0.500 0.500 1
Pt3 Pt 0.189 0.114 0.500 1
```

3.
Density functional theory data (GGA-PBE) for an optimized crystal structure of GaNiPt2.

CIF file:
```
data_GaNiPt2
_chemical_formula_sum 'Ga4 Ni4 Pt8'
_cell_length_a 3.818
_cell_length_b 3.818
_cell_length_c 17.397
_cell_angle_alpha 90.00
_cell_angle_beta 90.00
_cell_angle_gamma 90.00
_symmetry_space_group_name_H-M 'I -4 2 d'
_symmetry_Int_Tables_number 122
_symmetry_space_group_name_Hall 'I -4 2bw'
loop_
_atom_site_label
_atom_site_type_symbol
_atom_site_fract_x
_atom_site_fract_y
_atom_site_fract_z
_atom_site_occupancy
Ga1 Ga 0.000 0.000 0.000 1
Ni1 Ni 0.000 0.000 0.500 1
Pt1 Pt 0.244 0.250 0.625 1
```

4.
# GaNi3Pt GGA-PBE optimized geometry
# Relative energy among the computed polymorphs, eV/f.u.: 3.231
data_GaNi3Pt
_chemical_formula_sum 'Ga1 Ni3 Pt1'
_cell_length_a 4.254
_cell_length_b 4.254
_cell_length_c 4.254
_cell_angle_alpha 90.00
_cell_angle_beta 90.00
_cell_angle_gamma 90.00
_symmetry_space_group_name_H-M 'P m -3 m'
_symmetry_Int_Tables_number 221
_symmetry_space_group_name_Hall '-P 4 2 3'
loop_
_atom_site_label
_atom_site_type_symbol
_atom_site_fract_x
_atom_site_fract_y
_atom_site_fract_z
_atom_site_occupancy
Ga1 Ga 0.000 0.000 0.000 1
Ni1 Ni 0.000 0.000 0.500 1
Pt1 Pt 0.500 0.500 0.500 1

5.
Density functional theory data (GGA-PBE) for an optimized crystal structure of GaNi4Pt4.

CIF file:
```
data_GaNi4Pt4
_chemical_formula_sum 'Ga2 Ni8 Pt8'
_cell_length_a 7.942
_cell_length_b 7.942
_cell_length_c 3.832
_cell_angle_alpha 90.00
_cell_angle_beta 90.00
_cell_angle_gamma 90.00
_symmetry_space_group_name_H-M 'I 4/m m m'
_symmetry_Int_Tables_number 139
_symmetry_space_group_name_Hall '-I 4 2'
loop_
_atom_site_label
_atom_site_type_symbol
_atom_site_fract_x
_atom_site_fract_y
_atom_site_fract_z
_atom_site_occupancy
Ga1 Ga 0.000 0.000 0.000 1
Ni1 Ni 0.164 0.164 0.500 1
Pt1 Pt 0.000 0.320 0.000 1
```

6.
Density functional theory data (GGA-PBE) for an optimized crystal structure of Ga2NiPt9.

CIF file:
```
data_Ga2NiPt9
_chemical_formula_sum 'Ga2 Ni1 Pt9'
_cell_length_a 3.929
_cell_length_b 3.929
_cell_length_c 11.786
_cell_angle_alpha 90.00
_cell_angle_beta 90.00
_cell_angle_gamma 90.00
_symmetry_space_group_name_H-M 'P 4/m m m'
_symmetry_Int_Tables_number 123
_symmetry_space_group_name_Hall '-P 4 2'
loop_
_atom_site_label
_atom_site_type_symbol
_atom_site_fract_x
_atom_site_fract_y
_atom_site_fract_z
_atom_site_occupancy
Ga1 Ga 0.000 0.000 0.170 1
Ni1 Ni 0.000 0.000 0.500 1
Pt1 Pt 0.000 0.500 0.000 1
Pt2 Pt 0.000 0.500 0.336 1
Pt3 Pt 0.500 0.500 0.168 1
Pt4 Pt 0.500 0.500 0.500 1
```

7.
Density functional theory data (GGA-PBE) for an optimized crystal structure of Ga6NiPt.

CIF file:
```
data_Ga6NiPt
_chemical_formula_sum 'Ga6 Ni1 Pt1'
_cell_length_a 4.099
_cell_length_b 6.354
_cell_length_c 6.406
_cell_angle_alpha 101.41
_cell_angle_beta 108.44
_cell_angle_gamma 108.77
_symmetry_space_group_name_H-M 'P -1'
_symmetry_Int_Tables_number 2
loop_
_symmetry_equiv_pos_as_xyz
'x,y,z'
'-x,-y,-z'
loop_
_atom_site_label
_atom_site_type_symbol
_atom_site_fract_x
_atom_site_fract_y
_atom_site_fract_z
_atom_site_occupancy
Ga1 Ga 0.016 0.273 0.260 1
Ga2 Ga 0.326 0.926 0.223 1
Ga3 Ga 0.352 0.443 0.757 1
Ni1 Ni 0.000 0.500 0.000 1
Pt1 Pt 0.000 0.000 0.500 1
```

8.
Density functional theory data (GGA-PBE) for an optimized crystal structure of Ga2Ni5Pt12.

CIF file:
```
data_Ga2Ni5Pt12
_chemical_formula_sum 'Ga4 Ni10 Pt24'
_cell_length_a 14.445
_cell_length_b 5.365
_cell_length_c 8.034
_cell_angle_alpha 90.00
_cell_angle_beta 101.87
_cell_angle_gamma 90.00
_symmetry_space_group_name_H-M 'C 1 2/m 1'
_symmetry_Int_Tables_number 12
loop_
_symmetry_equiv_pos_as_xyz
'x,y,z'
'-x,-y,-z'
'-x,y,-z'
'x,-y,z'
'x+1/2,y+1/2,z'
'-x+1/2,-y+1/2,-z'
'-x+1/2,y+1/2,-z'
'x+1/2,-y+1/2,z'
loop_
_atom_site_label
_atom_site_type_symbol
_atom_site_fract_x
_atom_site_fract_y
_atom_site_fract_z
_atom_site_occupancy
Ga1 Ga 0.000 0.242 0.000 1
Ni1 Ni 0.000 0.500 0.500 1
Ni2 Ni 0.125 0.000 0.885 1
Ni3 Ni 0.208 0.000 0.394 1
Pt1 Pt 0.024 0.000 0.336 1
Pt2 Pt 0.079 0.500 0.257 1
Pt3 Pt 0.142 0.248 0.608 1
Pt4 Pt 0.209 0.252 0.131 1
```

9.
# Ga2Ni4Pt GGA-PBE optimized geometry
# Relative energy among the computed polymorphs, eV/f.u.: 6.268
data_Ga2Ni4Pt
_chemical_formula_sum 'Ga4 Ni8 Pt2'
_cell_length_a 4.561
_cell_length_b 4.561
_cell_length_c 12.106
_cell_angle_alpha 90.00
_cell_angle_beta 90.00
_cell_angle_gamma 90.00
_symmetry_space_group_name_H-M 'I 4/m m m'
_symmetry_Int_Tables_number 139
_symmetry_space_group_name_Hall '-I 4 2'
loop_
_atom_site_label
_atom_site_type_symbol
_atom_site_fract_x
_atom_site_fract_y
_atom_site_fract_z
_atom_site_occupancy
Ga1 Ga 0.000 0.000 0.110 1
Ni1 Ni 0.000 0.000 0.297 1
Ni2 Ni 0.000 0.500 0.000 1
Pt1 Pt 0.000 0.000 0.500 1

10.
# Ga2Ni2Pt GGA-PBE optimized geometry
# Relative energy among the computed polymorphs, eV/f.u.: 1.763
data_Ga2Ni2Pt
_chemical_formula_sum 'Ga4 Ni4 Pt2'
_cell_length_a 3.626
_cell_length_b 3.626
_cell_length_c 10.850
_cell_angle_alpha 90.00
_cell_angle_beta 90.00
_cell_angle_gamma 90.00
_symmetry_space_group_name_H-M 'I 4/m m m'
_symmetry_Int_Tables_number 139
_symmetry_space_group_name_Hall '-I 4 2'
loop_
_atom_site_label
_atom_site_type_symbol
_atom_site_fract_x
_atom_site_fract_y
_atom_site_fract_z
_atom_site_occupancy
Ga1 Ga 0.000 0.500 0.250 1
Ni1 Ni 0.000 0.000 0.104 1
Pt1 Pt 0.000 0.000 0.500 1

11.
# GaNi3Pt GGA-PBE optimized geometry
# Relative energy among the computed polymorphs, eV/f.u.: 0.000
data_GaNi3Pt
_chemical_formula_sum 'Ga4 Ni12 Pt4'
_cell_length_a 6.749
_cell_length_b 8.499
_cell_length_c 5.188
_cell_angle_alpha 90.00
_cell_angle_beta 90.00
_cell_angle_gamma 90.00
_symmetry_space_group_name_H-M 'C m c m'
_symmetry_Int_Tables_number 63
_symmetry_space_group_name_Hall '-C 2c 2'
loop_
_atom_site_label
_atom_site_type_symbol
_atom_site_fract_x
_atom_site_fract_y
_atom_site_fract_z
_atom_site_occupancy
Ga1 Ga 0.000 0.244 0.250 1
Ni1 Ni 0.000 0.236 0.750 1
Ni2 Ni 0.179 0.006 0.250 1
Pt1 Pt 0.000 0.500 0.000 1

12.
Density functional theory data (GGA-PBE) for an optimized crystal structure of Ga4Ni9Pt2.

CIF file:
```
data_Ga4Ni9Pt2
_chemical_formula_sum 'Ga8 Ni18 Pt4'
_cell_length_a 8.072
_cell_length_b 3.640
_cell_length_c 13.204
_cell_angle_alpha 90.00
_cell_angle_beta 106.78
_cell_angle_gamma 90.00
_symmetry_space_group_name_H-M 'C 1 2/m 1'
_symmetry_Int_Tables_number 12
loop_
_symmetry_equiv_pos_as_xyz
'x,y,z'
'-x,-y,-z'
'-x,y,-z'
'x,-y,z'
'x+1/2,y+1/2,z'
'-x+1/2,-y+1/2,-z'
'-x+1/2,y+1/2,-z'
'x+1/2,-y+1/2,z'
loop_
_atom_site_label
_atom_site_type_symbol
_atom_site_fract_x
_atom_site_fract_y
_atom_site_fract_z
_atom_site_occupancy
Ga1 Ga 0.164 0.000 0.123 1
Ga2 Ga 0.173 0.000 0.347 1
Ni1 Ni 0.000 0.500 0.000 1
Ni2 Ni 0.000 0.500 0.191 1
Ni3 Ni 0.009 0.500 0.407 1
Ni4 Ni 0.161 0.000 0.531 1
Ni5 Ni 0.167 0.000 0.935 1
Pt1 Pt 0.166 0.000 0.732 1
```

13.
Density functional theory data (GGA-PBE) for an optimized crystal structure of GaNiPt2.

CIF file:
```
data_GaNiPt2
_chemical_formula_sum 'Ga2 Ni2 Pt4'
_cell_length_a 2.705
_cell_length_b 4.562
_cell_length_c 10.239
_cell_angle_alpha 90.00
_cell_angle_beta 90.00
_cell_angle_gamma 90.00
_symmetry_space_group_name_H-M 'I m m m'
_symmetry_Int_Tables_number 71
_symmetry_space_group_name_Hall '-I 2 2'
loop_
_atom_site_label
_atom_site_type_symbol
_atom_site_fract_x
_atom_site_fract_y
_atom_site_fract_z
_atom_site_occupancy
Ga1 Ga 0.000 0.000 0.000 1
Ni1 Ni 0.000 0.000 0.500 1
Pt1 Pt 0.000 0.000 0.250 1
```

14.
Density functional theory data (GGA-PBE) for an optimized crystal structure of Ga6Ni5Pt.

CIF file:
```
data_Ga6Ni5Pt
_chemical_formula_sum 'Ga12 Ni10 Pt2'
_cell_length_a 4.177
_cell_length_b 12.655
_cell_length_c 5.883
_cell_angle_alpha 90.00
_cell_angle_beta 90.09
_cell_angle_gamma 90.00
_symmetry_space_group_name_H-M 'C 1 2/m 1'
_symmetry_Int_Tables_number 12
loop_
_symmetry_equiv_pos_as_xyz
'x,y,z'
'-x,-y,-z'
'-x,y,-z'
'x,-y,z'
'x+1/2,y+1/2,z'
'-x+1/2,-y+1/2,-z'
'-x+1/2,y+1/2,-z'
'x+1/2,-y+1/2,z'
loop_
_atom_site_label
_atom_site_type_symbol
_atom_site_fract_x
_atom_site_fract_y
_atom_site_fract_z
_atom_site_occupancy
Ga1 Ga 0.000 0.000 0.237 1
Ga2 Ga 0.000 0.327 0.245 1
Ni1 Ni 0.000 0.163 0.000 1
Ni2 Ni 0.000 0.164 0.500 1
Ni3 Ni 0.000 0.500 0.000 1
Pt1 Pt 0.000 0.500 0.500 1
```

15.
# Ga2Ni3Pt GGA-PBE optimized geometry
# Relative energy among the computed polymorphs, eV/f.u.: 0.000
data_Ga2Ni3Pt
_chemical_formula_sum 'Ga4 Ni6 Pt2'
_cell_length_a 3.806
_cell_length_b 11.296
_cell_length_c 3.570
_cell_angle_alpha 90.00
_cell_angle_beta 90.00
_cell_angle_gamma 90.00
_symmetry_space_group_name_H-M 'C m m m'
_symmetry_Int_Tables_number 65
_symmetry_space_group_name_Hall '-C 2 2'
loop_
_atom_site_label
_atom_site_type_symbol
_atom_site_fract_x
_atom_site_fract_y
_atom_site_fract_z
_atom_site_occupancy
Ga1 Ga 0.000 0.160 0.000 1
Ni1 Ni 0.000 0.000 0.500 1
Ni2 Ni 0.000 0.326 0.500 1
Pt1 Pt 0.000 0.500 0.000 1

16.
Density functional theory data (GGA-PBE) for an optimized crystal structure of GaNiPt5.

CIF file:
```
data_GaNiPt5
_chemical_formula_sum 'Ga4 Ni4 Pt20'
_cell_length_a 8.746
_cell_length_b 8.841
_cell_length_c 6.648
_cell_angle_alpha 90.00
_cell_angle_beta 119.85
_cell_angle_gamma 90.00
_symmetry_space_group_name_H-M 'C 1 2/c 1'
_symmetry_Int_Tables_number 15
loop_
_symmetry_equiv_pos_as_xyz
'x,y,z'
'-x,-y,-z'
'-x,y,-z+1/2'
'x,-y,z+1/2'
'x+1/2,y+1/2,z'
'-x+1/2,-y+1/2,-z'
'-x+1/2,y+1/2,-z+1/2'
'x+1/2,-y+1/2,z+1/2'
loop_
_atom_site_label
_atom_site_type_symbol
_atom_site_fract_x
_atom_site_fract_y
_atom_site_fract_z
_atom_site_occupancy
Ga1 Ga 0.000 0.199 0.250 1
Ni1 Ni 0.250 0.250 0.000 1
Pt1 Pt 0.000 0.076 0.750 1
Pt2 Pt 0.049 0.360 0.585 1
Pt3 Pt 0.246 0.413 0.362 1
```

17.
Density functional theory data (GGA-PBE) for an optimized crystal structure of GaNiPt.

CIF file:
```
data_GaNiPt
_chemical_formula_sum 'Ga2 Ni2 Pt2'
_cell_length_a 4.1529
_cell_length_b 4.1529
_cell_length_c 5.4664
_cell_angle_alpha 90.00
_cell_angle_beta 90.00
_cell_angle_gamma 120.00
_symmetry_space_group_name_H-M 'P 63/m m c'
_symmetry_Int_Tables_number 194
_symmetry_space_group_name_Hall '-P 6c 2c'
loop_
_atom_site_label
_atom_site_type_symbol
_atom_site_fract_x
_atom_site_fract_y
_atom_site_fract_z
_atom_site_occupancy
Ga1 Ga 0.3333 0.6667 0.2500 1
Ni1 Ni 0.3333 0.6667 0.7500 1
Pt1 Pt 0.0000 0.0000 0.0000 1
```

18.
Density functional theory data (GGA-PBE) for an optimized crystal structure of GaNi5Pt6.

CIF file:
```
data_GaNi5Pt6
_chemical_formula_sum 'Ga2 Ni10 Pt12'
_cell_length_a 3.895
_cell_length_b 11.667
_cell_length_c 7.229
_cell_angle_alpha 90.00
_cell_angle_beta 90.00
_cell_angle_gamma 90.00
_symmetry_space_group_name_H-M 'C m m m'
_symmetry_Int_Tables_number 65
_symmetry_space_group_name_Hall '-C 2 2'
loop_
_atom_site_label
_atom_site_type_symbol
_atom_site_fract_x
_atom_site_fract_y
_atom_site_fract_z
_atom_site_occupancy
Ga1 Ga 0.000 0.000 0.000 1
Ni1 Ni 0.000 0.000 0.500 1
Ni2 Ni 0.000 0.330 0.000 1
Ni3 Ni 0.000 0.335 0.500 1
Pt1 Pt 0.000 0.168 0.251 1
Pt2 Pt 0.000 0.500 0.251 1
```

19.
Density functional theory data (GGA-PBE) for an optimized crystal structure of Ga3Ni5Pt.

CIF file:
```
data_Ga3Ni5Pt
_chemical_formula_sum 'Ga12 Ni20 Pt4'
_cell_length_a 6.855
_cell_length_b 6.855
_cell_length_c 10.551
_cell_angle_alpha 90.00
_cell_angle_beta 90.00
_cell_angle_gamma 90.00
_symmetry_space_group_name_H-M 'I 4/m c m'
_symmetry_Int_Tables_number 140
_symmetry_space_group_name_Hall '-I 4 2c'
loop_
_atom_site_label
_atom_site_type_symbol
_atom_site_fract_x
_atom_site_fract_y
_atom_site_fract_z
_atom_site_occupancy
Ga1 Ga 0.000 0.000 0.250 1
Ga2 Ga 0.117 0.383 0.000 1
Ni1 Ni 0.000 0.000 0.000 1
Ni2 Ni 0.204 0.296 0.371 1
Pt1 Pt 0.000 0.500 0.250 1
```

20.
Density functional theory data (GGA-PBE) for an optimized crystal structure of GaNi7Pt3.

CIF file:
```
data_GaNi7Pt3
_chemical_formula_sum 'Ga2 Ni14 Pt6'
_cell_length_a 5.290
_cell_length_b 8.366
_cell_length_c 6.703
_cell_angle_alpha 90.00
_cell_angle_beta 101.03
_cell_angle_gamma 90.00
_symmetry_space_group_name_H-M 'C 1 m 1'
_symmetry_Int_Tables_number 8
loop_
_symmetry_equiv_pos_as_xyz
'x,y,z'
'x,-y,z'
'x+1/2,y+1/2,z'
'x+1/2,-y+1/2,z'
loop_
_atom_site_label
_atom_site_type_symbol
_atom_site_fract_x
_atom_site_fract_y
_atom_site_fract_z
_atom_site_occupancy
Ga1 Ga 0.000 0.000 0.000 1
Ni1 Ni 0.162 0.000 0.658 1
Ni2 Ni 0.162 0.500 0.666 1
Ni3 Ni 0.271 0.255 0.097 1
Ni4 Ni 0.331 0.500 0.331 1
Ni5 Ni 0.438 0.254 0.770 1
Pt1 Pt 0.102 0.252 0.432 1
Pt2 Pt 0.484 0.000 0.000 1
```

What E_form values result from the calculations? In sequence: -0.362, 0.287, -0.084, 0.786, -0.238, -0.300, -0.292, 0.062, 0.692, -0.023, 0.139, -0.289, -0.026, -0.375, -0.372, -0.097, -0.471, -0.206, 0.029, -0.062 eV per atom.
What DFT total energy values result from the calculations? In sequence: -5.1755, -5.4009, -5.3066, -4.4968, -5.8287, -5.8169, -4.0397, -5.5937, -4.3391, -4.7546, -5.1431, -5.3706, -5.2484, -4.8003, -5.2786, -5.6697, -5.4211, -5.8878, -4.8629, -5.6639 eV per atom.